PBE ScIn2Br, relaxed; SG = I-4m2, No. 119; energy above the most stable polymorph in this dataset = 0.374 eV/atom; energy relative to the elements, uncorrected = -0.20 eV per atom; total energy = -14.3 eV per cell
1.0
-2.390 2.390 4.346
2.390 -2.390 4.346
2.390 2.390 -4.346
Sc In Br
1 2 1
Cartesian
0.000 0.000 0.000 Sc
0.000 0.000 4.346 In
0.000 2.390 2.173 In
2.390 0.000 2.173 Br